Compound: LiNi2Os
Source: Alexandria
Functional: PBE
Structure: relaxed

Formation energy in eV/atom: 0.6355
Density in g/cm3: 10.50
Final energy in eV/cell: -44.33

a = 3.469 Å, b = 3.469 Å, c = 8.626 Å
α = 78.40°, β = 78.40°, γ = 90.00°
Fractional positions:
Ni (0.375, 0.381, 0.750)
Ni (0.619, 0.125, 0.250)
Ni (0.131, 0.625, 0.250)
Ni (0.875, 0.869, 0.750)
Os (0.750, 0.250, 0.500)
Os (0.000, 0.000, 0.000)
Li (0.500, 0.500, 0.000)
Li (0.250, 0.750, 0.500)